Record 1
# AcNd6Cd2 (GGA-PBE, optimized geometry)
data_AcNd6Cd2
_chemical_formula_sum 'Ac2 Nd12 Cd4'
_space_group_name_H-M_alt 'C 1 2/m 1'
_space_group_IT_number 12
_cell_length_a 13.185
_cell_length_b 3.901
_cell_length_c 12.405
_cell_angle_alpha 90.00
_cell_angle_beta 108.35
_cell_angle_gamma 90.00
loop_
_space_group_symop_operation_xyz
'x,y,z'
'-x,-y,-z'
'-x,y,-z'
'x,-y,z'
'x+1/2,y+1/2,z'
'-x+1/2,-y+1/2,-z'
'-x+1/2,y+1/2,-z'
'x+1/2,-y+1/2,z'
loop_
_atom_site_label
_atom_site_fract_x
_atom_site_fract_y
_atom_site_fract_z
_atom_site_occupancy
Ac1 0.000 0.000 0.000 1
Nd1 0.016 0.000 0.339 1
Nd2 0.186 0.500 0.582 1
Nd3 0.187 0.500 0.874 1
Cd1 0.154 0.500 0.221 1
# energy of formation from the pure elements	-0.127	eV per atom
# V	33.64	A^3/atom

=====

Record 2
# Ac4Nd3Cd (GGA-PBE, optimized geometry)
data_Ac4Nd3Cd
_chemical_formula_sum 'Ac4 Nd3 Cd1'
_space_group_name_H-M_alt 'P 4/m m m'
_space_group_IT_number 123
_space_group_name_Hall '-P 4 2'
_cell_length_a 3.937
_cell_length_b 3.937
_cell_length_c 19.973
_cell_angle_alpha 90.00
_cell_angle_beta 90.00
_cell_angle_gamma 90.00
loop_
_atom_site_label
_atom_site_fract_x
_atom_site_fract_y
_atom_site_fract_z
_atom_site_occupancy
Ac1 0.000 0.000 0.107 1
Ac2 0.000 0.000 0.370 1
Nd1 0.500 0.500 0.240 1
Nd2 0.500 0.500 0.500 1
Cd1 0.500 0.500 0.000 1
# energy of formation from the pure elements	-0.051	eV per atom
# V	38.69	A^3/atom